VASP calculation (PBE) on a relaxed structure of Cu4OF6.

Values from the calculation:
energy relative to the elements, uncorrected: -1.275 eV/atom
DOS(E_F): 0.642 states/eV/atom
offset from the most stable computed form: 0 meV per atom
space-group type: No. 137
energy: -4.24 eV/atom

a = 6.857 Å, b = 6.857 Å, c = 5.142 Å
α = 90.00°, β = 90.00°, γ = 90.00°
Positions (direct):
Cu 0.006 0.750 0.063
Cu 0.250 0.506 0.437
Cu 0.250 0.994 0.437
Cu 0.494 0.750 0.063
Cu 0.506 0.250 0.937
Cu 0.750 0.006 0.563
Cu 0.750 0.494 0.563
Cu 0.994 0.250 0.937
O 0.250 0.750 0.250
O 0.750 0.250 0.750
F 0.040 0.540 0.750
F 0.040 0.960 0.750
F 0.250 0.250 0.085
F 0.250 0.250 0.585
F 0.460 0.540 0.750
F 0.460 0.960 0.750
F 0.540 0.040 0.250
F 0.540 0.460 0.250
F 0.750 0.750 0.415
F 0.750 0.750 0.915
F 0.960 0.040 0.250
F 0.960 0.460 0.250

=====

VASP calculation (PBE) on a relaxed structure of CuO2F4.

Values from the calculation:
energy relative to the elements, uncorrected: -0.065 eV/atom
DOS(E_F): 0.192 states/eV/atom
space-group type: No. 12
energy: -3.14 eV/atom

a = 6.064 Å, b = 6.064 Å, c = 4.870 Å
α = 90.30°, β = 90.30°, γ = 28.44°
Positions (direct):
Cu 0.000 0.000 0.000
O 0.268 0.268 0.702
O 0.732 0.732 0.298
F 0.102 0.102 0.313
F 0.417 0.417 0.161
F 0.583 0.583 0.839
F 0.898 0.898 0.687

=====

Q: Among the records above, which one has the lowest energy?
A: Cu4OF6